# LiY2W

A relaxed LiY2W crystal (PBE, Alexandria via LeMat-Bulk).

Unit cell a=10.7708 b=10.7708 c=10.7708 alpha=17.44 beta=17.44 gamma=17.44
Sites, in units of the cell vectors:
1 Y 0.4916 0.4916 0.4916
2 Y 0.0084 0.0084 0.0084
3 Li 0.2500 0.2500 0.2500
4 W 0.7500 0.7500 0.7500

Calculated formation energy: 0.5362 eV/atom
Distance to the lowest polymorph of the same formula: 192 meV/atom
Final energy: -6.4126 eV/atom
Magnetization: 0.00 Bohr magnetons per cell
SG: R-3m (166)